No. 1
A plane-wave DFT calculation with PBE-GGA was carried out for a relaxed Nd8YTl6 crystal.

Results
M_tot = 0.00 μB per cell
Volume = 1506.06 Å³/cell
ΔH_f (0 K) = -171 meV/atom

a b c (Å): 9.3375 9.3375 19.9459
angles (deg): 90.00 90.00 120.00
Space group R-3 (No. 148, hexagonal axes)
Symmetry-distinct sites (fractional):
Nd 0.0000 0.0000 0.1651 x6
Nd 0.0010 0.3370 0.3882 x18
Y 0.0000 0.0000 0.5000 x3
Tl 0.0005 0.6737 0.4416 x18



No. 2
A plane-wave DFT calculation with PBE-GGA was carried out for a relaxed TiP4 crystal.

Results
M_tot = 0.00 μB per cell
Volume = 101.54 Å³/cell
ΔH_f (0 K) = 711 meV/atom

a b c (Å): 4.665 4.665 4.665
angles (deg): 90.00 90.00 90.00
Space group Pm-3m (No. 221)
Symmetry-distinct sites (fractional):
Ti 0.000 0.000 0.000 x1
P 0.000 0.000 0.500 x3
P 0.500 0.500 0.500 x1